1.
## TiCl3 (PBE-GGA)

Data for crystalline TiCl3 at its relaxed geometry.

The structure belongs to space group P3_112 (No. 151); the cell edges are 6.0681, 6.0681 and 19.8060 Å and the angles 90.00°, 90.00° and 120.00°. Symmetry generates all atoms from Ti at (0.0912, 0.5456, 0.0000), Ti at (0.1011, 0.2023, 0.6667), Cl at (0.0947, 0.2211, 0.9267), Cl at (0.1265, 0.5554, 0.7335) and Cl at (0.4290, 0.2054, 0.7400).

As for the volume: 631.59 Å³ per cell. The formation energy (no corrections) comes out at -36.622 kcal/mol of atoms.

***

2.
## RbBa2P (PBE-GGA)

Data for crystalline RbBa2P at its relaxed geometry.

The structure belongs to space group I-42d (No. 122); the cell edges are 10.088, 10.088 and 8.569 Å and the angles 90.00°, 90.00° and 90.00°. Symmetry generates all atoms from Rb at (0.000, 0.000, 0.000), Ba at (0.144, 0.250, 0.625) and P at (0.000, 0.000, 0.500).

As for the volume: 872.12 Å³ per cell. Its formation energy is -0.345 eV per atom.

***

3.
## Ag2MoW (PBE-GGA)

Data for crystalline Ag2MoW at its relaxed geometry.

The structure belongs to space group Imm2 (No. 44); the cell edges are 3.120, 4.873 and 9.202 Å and the angles 90.00°, 90.00° and 90.00°. Symmetry generates all atoms from Ag at (0.000, 0.000, 0.000), Ag at (0.000, 0.500, 0.240), Mo at (0.000, 0.500, 0.770) and W at (0.000, 0.000, 0.476).

As for the volume: 139.89 Å³ per cell. For the offset from the most stable computed form, the calculation gives 347 meV per atom. Its formation energy is 0.651 eV per atom.

***

4.
## Er6TeOs2 (PBE-GGA)

Data for crystalline Er6TeOs2 at its relaxed geometry.

The structure belongs to space group Immm (No. 71); the cell edges are 9.388, 9.507 and 10.403 Å and the angles 90.00°, 90.00° and 90.00°. Symmetry generates all atoms from Er at (0.000, 0.210, 0.241), Er at (0.184, 0.500, 0.170), Er at (0.221, 0.318, 0.500), Te at (0.000, 0.000, 0.000), Te at (0.000, 0.000, 0.500), Os at (0.000, 0.335, 0.000) and Os at (0.000, 0.500, 0.379).

As for the volume: 928.56 Å³ per cell. The formation energy (no corrections) comes out at -10.082 kcal/mol of atoms.

***

5.
## ZrSi2Ag (PBE-GGA)

Data for crystalline ZrSi2Ag at its relaxed geometry.

The structure belongs to space group Pmm2 (No. 25); the cell edges are 2.860, 4.694 and 5.118 Å and the angles 90.00°, 90.00° and 90.00°. Symmetry generates all atoms from Zr at (0.000, 0.000, 0.000), Si at (0.500, 0.000, 0.480), Si at (0.500, 0.500, 0.205) and Ag at (0.500, 0.500, 0.709).

As for the volume: 68.72 Å³ per cell. The formation energy (no corrections) comes out at -3.422 kcal/mol of atoms.

***

6.
## LaCoSiAu2 (PBE-GGA)

Data for crystalline LaCoSiAu2 at its relaxed geometry.

The structure belongs to space group P4/mmm (No. 123); the cell edges are 4.855, 4.855 and 4.477 Å and the angles 90.00°, 90.00° and 90.00°. Symmetry generates all atoms from La at (0.000, 0.000, 0.000), Co at (0.500, 0.500, 0.000), Si at (0.500, 0.500, 0.500) and Au at (0.000, 0.500, 0.500).

As for the volume: 105.51 Å³ per cell. The formation energy (no corrections) comes out at -4.782 kcal/mol of atoms.